Entry 1:
Entry from Alexandria: crystalline InCoAg2 at its relaxed geometry (PBE).

Lattice parameters (Å, degrees): 4.7636 4.7636 4.7636 126.51 126.51 79.05
Last column: nearest neighbours and their distance in Å.
Atoms (fractional coordinates):
Ag  0.0000  0.0000  0.0000  4 Ag 2.82, 4 In 2.82, 4 Co 3.03
Ag  0.2500  0.7500  0.5000  4 Ag 2.82, 4 Co 2.82, 4 In 3.03
Co  0.5000  0.5000  0.0000  4 In 2.82, 8 Ag 2.82-3.03
In  0.7500  0.2500  0.5000  8 Ag 2.82-3.03, 4 Co 2.82

electronic total energy	-3.647	eV/atom

***

Entry 2:
Entry from Alexandria: crystalline KCSeBr2 at its relaxed geometry (PBE).

Lattice parameters (Å, degrees): 5.7041 5.7041 3.9969 90.00 90.00 90.00
Last column: nearest neighbours and their distance in Å.
Atoms (fractional coordinates):
C  0.0000  0.0000  0.0000  2 Se 2.00
K  0.5000  0.5000  0.5000  8 Br 3.48
Se  0.0000  0.0000  0.5000  2 C 2.00
Br  0.0000  0.5000  0.0000  2 C 2.85
Br  0.5000  0.0000  0.0000  2 C 2.85

excess energy over the best structure of this formula in the dataset	0	meV per atom
electronic total energy	-3.129	eV/atom
formation energy (no corrections)	0.301	eV per atom

***

Entry 3:
Entry from Alexandria: crystalline LaHoTeO2 at its relaxed geometry (PBE).

Lattice parameters (Å, degrees): 4.1659 6.9925 7.9762 107.41 90.00 90.00
Last column: nearest neighbours and their distance in Å.
Atoms (fractional coordinates):
La  0.2500  0.6818  0.9253  4 O 2.36-2.45
La  0.7500  0.3182  0.0747  4 O 2.36-2.45
Ho  0.2500  0.6543  0.4138  4 O 2.22-2.30
Ho  0.7500  0.3457  0.5862  4 O 2.22-2.30
Te  0.2500  0.0502  0.7424  3 Ho 3.19-3.42, 3 La 3.32-3.45, 1 O 3.53
Te  0.7500  0.9498  0.2576  3 Ho 3.19-3.42, 3 La 3.32-3.45, 1 O 3.53
O  0.7500  0.5094  0.3866  3 Ho 2.22-2.30, 1 La 2.45
O  0.2500  0.4906  0.6134  3 Ho 2.22-2.30, 1 La 2.45
O  0.7500  0.5156  0.8703  1 Ho 2.22, 3 La 2.36-2.43
O  0.2500  0.4844  0.1297  1 Ho 2.22, 3 La 2.36-2.43

electronic total energy	-7.498	eV/atom
formation energy (no corrections)	-2.986	eV per atom

***

Entry 4:
Entry from Alexandria: crystalline Ba4Li2Rh at its relaxed geometry (PBE).

Lattice parameters (Å, degrees): 5.9931 5.9931 10.2534 73.01 73.01 90.00
Last column: nearest neighbours and their distance in Å.
Atoms (fractional coordinates):
Rh  0.0000  0.0000  0.0000  6 Ba 3.00-3.15
Ba  0.8313  0.8313  0.3373  1 Rh 3.15
Ba  0.1687  0.1687  0.6627  1 Rh 3.15
Ba  0.0000  0.5000  0.0000  2 Rh 3.00
Ba  0.5000  0.0000  0.0000  2 Rh 3.00
Li  0.6305  0.6305  0.7390  5 Ba 3.75-3.86
Li  0.3695  0.3695  0.2610  5 Ba 3.75-3.86

electronic total energy	-2.704	eV/atom

***

Entry 5:
Entry from Alexandria: crystalline NdY2Sb2 at its relaxed geometry (PBE).

Lattice parameters (Å, degrees): 7.9931 7.9931 6.1146 110.99 110.99 97.86
Last column: nearest neighbours and their distance in Å.
Atoms (fractional coordinates):
Nd  0.1026  0.8974  0.2500  4 Sb 3.19-3.37
Nd  0.8974  0.1026  0.7500  4 Sb 3.19-3.37
Y  0.7761  0.5814  0.4834  4 Sb 2.99-3.17, 1 Y 3.25
Y  0.4186  0.2239  0.0166  4 Sb 2.99-3.17, 1 Y 3.25
Y  0.5814  0.7761  0.9834  4 Sb 2.99-3.17, 1 Y 3.25
Y  0.2239  0.4186  0.5166  4 Sb 2.99-3.17, 1 Y 3.25
Sb  0.3760  0.6240  0.2500  4 Y 3.10-3.12, 1 Nd 3.30
Sb  0.8231  0.1769  0.2500  4 Y 2.99-3.17, 2 Nd 3.19
Sb  0.1769  0.8231  0.7500  4 Y 2.99-3.17, 2 Nd 3.19
Sb  0.6240  0.3760  0.7500  4 Y 3.10-3.12, 1 Nd 3.30

electronic total energy	-5.876	eV/atom
formation energy (no corrections)	-0.688	eV per atom

***

Entry 6:
Entry from Alexandria: crystalline NaC at its relaxed geometry (PBE).

Lattice parameters (Å, degrees): 16.4832 2.6625 4.2005 90.00 90.00 90.00
Last column: nearest neighbours and their distance in Å.
Atoms (fractional coordinates):
Na  0.8534  0.0000  0.5000  1 C 2.42, 2 Na 2.66
Na  0.1466  0.0000  0.5000  1 C 2.42, 2 Na 2.66
Na  0.3534  0.5000  0.5000  1 C 2.42, 2 Na 2.66
Na  0.6466  0.5000  0.5000  1 C 2.42, 2 Na 2.66
Na  0.5000  0.0000  0.0000  4 C 2.49, 2 Na 2.66
Na  0.0000  0.5000  0.0000  4 C 2.49, 2 Na 2.66
C  0.7429  0.0000  0.0000  2 C 1.35
C  0.2571  0.0000  0.0000  2 C 1.35
C  0.2429  0.5000  0.0000  2 C 1.35
C  0.7571  0.5000  0.0000  2 C 1.35
C  0.0000  0.0000  0.5000  6 Na 2.42-2.49, 2 C 2.66
C  0.5000  0.5000  0.5000  6 Na 2.42-2.49, 2 C 2.66

excess energy over the best structure of this formula in the dataset	731	meV per atom
electronic total energy	-4.310	eV/atom

***

Entry 7:
Entry from Alexandria: crystalline PuHgH2Cl8 at its relaxed geometry (PBE).

Lattice parameters (Å, degrees): 7.2060 6.7904 7.7247 87.54 89.79 89.43
Last column: nearest neighbours and their distance in Å.
Atoms (fractional coordinates):
Pu  0.0000  0.0000  0.0000  6 Cl 2.56-2.71
Hg  0.0000  0.0000  0.5000  2 Cl 2.51
H  0.3180  0.2543  0.6897  1 Cl 1.32
H  0.6820  0.7457  0.3103  1 Cl 1.32
Cl  0.1746  0.7849  0.2336  1 Pu 2.59, 1 Hg 2.85
Cl  0.7198  0.7740  0.0349  1 H 2.14
Cl  0.8668  0.2180  0.2604  1 Hg 2.51, 1 Pu 2.71
Cl  0.8254  0.2151  0.7664  1 Pu 2.59, 1 Hg 2.85
Cl  0.2802  0.2260  0.9651  1 H 2.14
Cl  0.1332  0.7820  0.7396  1 Hg 2.51, 1 Pu 2.71
Cl  0.6754  0.7370  0.4814  1 H 1.32
Cl  0.3246  0.2630  0.5186  1 H 1.32

electronic total energy	-4.002	eV/atom

***

Entry 8:
Entry from Alexandria: crystalline VPS2I at its relaxed geometry (PBE).

Lattice parameters (Å, degrees): 4.4268 4.4268 5.3111 90.00 90.00 90.00
Last column: nearest neighbours and their distance in Å.
Atoms (fractional coordinates):
I  0.5000  0.5000  0.5000  4 P 3.13, 8 S 3.46
P  0.0000  0.0000  0.5000  2 V 2.66
S  0.0000  0.5000  0.0000  2 V 2.21
S  0.5000  0.0000  0.0000  2 V 2.21
V  0.0000  0.0000  0.0000  4 S 2.21

excess energy over the best structure of this formula in the dataset	0	meV per atom
electronic total energy	-4.766	eV/atom
formation energy (no corrections)	0.101	eV per atom

***

Entry 9:
Entry from Alexandria: crystalline Ac2La6Ho at its relaxed geometry (PBE).

Lattice parameters (Å, degrees): 9.7139 9.7139 12.2927 52.45 52.45 54.13
Last column: nearest neighbours and their distance in Å.
Atoms (fractional coordinates):
Ac  0.4549  0.3600  0.7017  6 La 3.59-3.98, 1 Ho 3.64, 1 Ac 3.72
Ac  0.6400  0.5451  0.7983  6 La 3.59-3.98, 1 Ho 3.64, 1 Ac 3.72
Ac  0.5451  0.6400  0.2983  6 La 3.59-3.98, 1 Ho 3.64, 1 Ac 3.72
Ac  0.3600  0.4549  0.2017  6 La 3.59-3.98, 1 Ho 3.64, 1 Ac 3.72
La  0.1519  0.3895  0.5846  3 La 3.42-3.50, 3 Ac 3.59-3.81, 1 Ho 3.61
La  0.6105  0.8481  0.9154  3 La 3.42-3.50, 3 Ac 3.59-3.81, 1 Ho 3.61
La  0.8481  0.6105  0.4154  3 La 3.42-3.50, 3 Ac 3.59-3.81, 1 Ho 3.61
La  0.3895  0.1519  0.0846  3 La 3.42-3.50, 3 Ac 3.59-3.81, 1 Ho 3.61
La  0.0478  0.6505  0.9967  5 La 3.50-3.89, 1 Ho 3.57
La  0.3495  0.9522  0.5033  5 La 3.50-3.89, 1 Ho 3.57
La  0.9522  0.3495  0.0033  5 La 3.50-3.89, 1 Ho 3.57
La  0.6505  0.0478  0.4967  5 La 3.50-3.89, 1 Ho 3.57
La  0.2290  0.9696  0.8759  5 La 3.42-3.69, 2 Ho 3.65-3.68, 1 Ac 3.84
La  0.0304  0.7710  0.6241  5 La 3.42-3.69, 2 Ho 3.65-3.68, 1 Ac 3.84
La  0.7710  0.0304  0.1241  5 La 3.42-3.69, 2 Ho 3.65-3.68, 1 Ac 3.84
La  0.9696  0.2290  0.3759  5 La 3.42-3.69, 2 Ho 3.65-3.68, 1 Ac 3.84
Ho  0.8877  0.1123  0.7500  8 La 3.57-3.68, 2 Ac 3.64
Ho  0.1123  0.8877  0.2500  8 La 3.57-3.68, 2 Ac 3.64

excess energy over the best structure of this formula in the dataset	12	meV per atom
electronic total energy	-4.628	eV/atom

***

Entry 10:
Entry from Alexandria: crystalline SnPb at its relaxed geometry (PBE).

Lattice parameters (Å, degrees): 3.5407 5.7804 7.0162 120.00 104.62 90.00
Last column: nearest neighbours and their distance in Å.
Atoms (fractional coordinates):
Sn  0.1373  0.4300  0.2747  4 Sn 3.25-3.54, 7 Pb 3.39-3.58
Sn  0.8627  0.5700  0.7253  4 Sn 3.25-3.54, 7 Pb 3.39-3.58
Pb  0.6145  0.9007  0.2290  7 Sn 3.39-3.58, 4 Pb 3.54-3.69
Pb  0.3855  0.0993  0.7710  7 Sn 3.39-3.58, 4 Pb 3.54-3.69

electronic total energy	-3.813	eV/atom

***

Entry 11:
Entry from Alexandria: crystalline K3Sn2Sb2 at its relaxed geometry (PBE).

Lattice parameters (Å, degrees): 6.6618 10.3838 15.5688 90.00 90.00 90.00
Last column: nearest neighbours and their distance in Å.
Atoms (fractional coordinates):
K  0.1141  0.6494  0.1176  3 Sn 3.42-3.65, 2 Sb 3.67-3.72
K  0.8859  0.3506  0.6176  3 Sn 3.42-3.65, 2 Sb 3.67-3.72
K  0.8859  0.1494  0.3824  3 Sn 3.42-3.65, 2 Sb 3.67-3.72
K  0.1141  0.8506  0.8824  3 Sn 3.42-3.65, 2 Sb 3.67-3.72
K  0.8859  0.3506  0.8824  3 Sn 3.42-3.65, 2 Sb 3.67-3.72
K  0.1141  0.6494  0.3824  3 Sn 3.42-3.65, 2 Sb 3.67-3.72
K  0.1141  0.8506  0.6176  3 Sn 3.42-3.65, 2 Sb 3.67-3.72
K  0.8859  0.1494  0.1176  3 Sn 3.42-3.65, 2 Sb 3.67-3.72
K  0.3368  0.2818  0.2500  2 Sb 3.46-3.63
K  0.6632  0.7182  0.7500  2 Sb 3.46-3.63
K  0.6632  0.7818  0.2500  2 Sb 3.46-3.63
K  0.3368  0.2182  0.7500  2 Sb 3.46-3.63
Sn  0.6705  0.4634  0.0670  3 Sb 2.97-3.18, 1 Sn 3.18
Sn  0.3295  0.5366  0.5670  3 Sb 2.97-3.18, 1 Sn 3.18
Sn  0.3295  0.9634  0.4330  3 Sb 2.97-3.18, 1 Sn 3.18
Sn  0.6705  0.0366  0.9330  3 Sb 2.97-3.18, 1 Sn 3.18
Sn  0.3295  0.5366  0.9330  3 Sb 2.97-3.18, 1 Sn 3.18
Sn  0.6705  0.4634  0.4330  3 Sb 2.97-3.18, 1 Sn 3.18
Sn  0.6705  0.0366  0.5670  3 Sb 2.97-3.18, 1 Sn 3.18
Sn  0.3295  0.9634  0.0670  3 Sb 2.97-3.18, 1 Sn 3.18
Sb  0.3938  0.2500  0.0000  4 Sn 3.07-3.18
Sb  0.6062  0.7500  0.5000  4 Sn 3.07-3.18
Sb  0.6062  0.7500  0.0000  4 Sn 3.07-3.18
Sb  0.3938  0.2500  0.5000  4 Sn 3.07-3.18
Sb  0.7922  0.4417  0.2500  2 Sn 2.97
Sb  0.2078  0.5583  0.7500  2 Sn 2.97
Sb  0.2078  0.9417  0.2500  2 Sn 2.97
Sb  0.7922  0.0583  0.7500  2 Sn 2.97

electronic total energy	-3.060	eV/atom
formation energy (no corrections)	-0.268	eV per atom

***

Entry 12:
Entry from Alexandria: crystalline Rb3Nd2ThTe6 at its relaxed geometry (PBE).

Lattice parameters (Å, degrees): 7.9641 7.9641 9.0447 98.44 98.44 120.00
Last column: nearest neighbours and their distance in Å.
Atoms (fractional coordinates):
Rb  0.1682  0.8318  0.5000  6 Te 3.66-3.68
Rb  0.8318  0.1682  0.5000  6 Te 3.66-3.68
Rb  0.5000  0.5000  0.5000  6 Te 3.66-3.69
Nd  0.3335  0.6665  0.0000  6 Te 3.22
Nd  0.6665  0.3335  0.0000  6 Te 3.22
Th  0.0000  0.0000  0.0000  6 Te 3.17
Te  0.9310  0.6022  0.7928  1 Th 3.17, 2 Nd 3.22
Te  0.7407  0.7407  0.2077  1 Th 3.17, 2 Nd 3.22
Te  0.0690  0.3978  0.2072  1 Th 3.17, 2 Nd 3.22
Te  0.6022  0.9310  0.7928  1 Th 3.17, 2 Nd 3.22
Te  0.2593  0.2593  0.7923  1 Th 3.17, 2 Nd 3.22
Te  0.3978  0.0690  0.2072  1 Th 3.17, 2 Nd 3.22

electronic total energy	-4.556	eV/atom
formation energy (no corrections)	-1.330	eV per atom

***

| no. | magnetic moment (μB/cell) |
| --- | --- |
| 1 | 1.03 |
| 2 | 0.00 |
| 3 | 0.00 |
| 4 | 0.00 |
| 5 | 0.00 |
| 6 | 0.72 |
| 7 | 4.00 |
| 8 | 0.00 |
| 9 | 0.00 |
| 10 | 0.00 |
| 11 | 0.00 |
| 12 | 0.00 |